Computed, not measured: a relaxed structure of Ca2TlPRh at the PBE-GGA level of DFT.

Values from the calculation:
crystal system = tetragonal
ΔH_f (0 K) = -12.599 kcal/mol of atoms
energy = -4.37 eV per atom

abc: 5.4898 5.4898 4.3683
angles: 90.00 90.00 90.00
Space group P4/mmm (No. 123)
Inequivalent atoms, fractional coordinates:
Ca 0.0000 0.5000 0.0000 [2 per cell]
Tl 0.0000 0.0000 0.5000 [1 per cell]
P 0.5000 0.5000 0.0000 [1 per cell]
Rh 0.5000 0.5000 0.5000 [1 per cell]